#i
First-principles (PBE) data for an optimized crystal structure of SnBi2O, as listed in the Alexandria database.

a b c (Å): 5.963 5.963 7.925
angles (deg): 67.90 67.90 90.00
Atoms (fractional coordinates):
Bi (0.519, 0.125, 0.250)
Bi (0.231, 0.625, 0.250)
Bi (0.375, 0.481, 0.750)
Bi (0.875, 0.769, 0.750)
O (0.500, 0.500, 0.000)
O (0.250, 0.750, 0.500)
Sn (0.000, 0.000, 0.000)
Sn (0.750, 0.250, 0.500)

Computed properties:
ρ: 7.692 g/cm3
Crystal system: tetragonal

---

#ii
First-principles (PBE) data for an optimized crystal structure of SnBi2O, as listed in the Alexandria database.

a b c (Å): 5.083 5.083 5.083
angles (deg): 60.00 60.00 60.00
Atoms (fractional coordinates):
Bi (0.250, 0.250, 0.250)
Bi (0.750, 0.750, 0.750)
O (0.000, 0.000, 0.000)
Sn (0.500, 0.500, 0.500)

Computed properties:
ρ: 9.882 g/cm3
Crystal system: cubic

---

Which of them is most stable? Easy: #i.

---

#i
First-principles (PBE) data for an optimized crystal structure of SnBi2O2, as listed in the Alexandria database.

a b c (Å): 8.798 8.798 3.349
angles (deg): 90.00 90.00 90.00
Atoms (fractional coordinates):
Bi (0.271, 0.771, 0.000)
Bi (0.771, 0.729, 0.000)
Bi (0.729, 0.229, 0.000)
Bi (0.229, 0.271, 0.000)
O (0.161, 0.661, 0.500)
O (0.661, 0.839, 0.500)
O (0.839, 0.339, 0.500)
O (0.339, 0.161, 0.500)
Sn (0.000, 0.000, 0.000)
Sn (0.500, 0.500, 0.000)

Computed properties:
ρ: 7.286 g/cm3
Crystal system: tetragonal

---

#ii
First-principles (PBE) data for an optimized crystal structure of SnBi2O2, as listed in the Alexandria database.

a b c (Å): 3.860 3.860 7.859
angles (deg): 75.78 75.78 90.00
Atoms (fractional coordinates):
Bi (0.339, 0.339, 0.321)
Bi (0.661, 0.661, 0.679)
O (0.750, 0.250, 0.500)
O (0.250, 0.750, 0.500)
Sn (0.000, 0.000, 0.000)

Computed properties:
ρ: 8.599 g/cm3
Crystal system: tetragonal

---

Which of them is most stable? Easy: #ii.

---

#i
First-principles (PBE) data for an optimized crystal structure of Sr3BiO, as listed in the Alexandria database.

a b c (Å): 5.207 4.919 12.990
angles (deg): 100.91 101.56 90.00
Atoms (fractional coordinates):
Sr (0.692, 0.942, 0.884)
Sr (0.308, 0.058, 0.116)
Sr (0.424, 0.674, 0.348)
Sr (0.576, 0.326, 0.652)
Sr (0.082, 0.832, 0.665)
Sr (0.918, 0.168, 0.335)
Bi (0.178, 0.428, 0.856)
Bi (0.822, 0.572, 0.144)
O (0.406, 0.157, 0.313)
O (0.594, 0.843, 0.687)

Computed properties:
ρ: 5.066 g/cm3
Crystal system: orthorhombic

---

#ii
First-principles (PBE) data for an optimized crystal structure of Sr3BiO, as listed in the Alexandria database.

a b c (Å): 5.226 5.226 5.226
angles (deg): 90.00 90.00 90.00
Atoms (fractional coordinates):
Sr (0.000, 0.500, 0.000)
Sr (0.000, 0.000, 0.500)
Sr (0.500, 0.000, 0.000)
Bi (0.500, 0.500, 0.500)
O (0.000, 0.000, 0.000)

Computed properties:
ρ: 5.677 g/cm3
Crystal system: cubic

---

Which of them is most stable? Easy: #ii.

---

#i
First-principles (PBE) data for an optimized crystal structure of Sr2BiO4, as listed in the Alexandria database.

a b c (Å): 3.592 6.360 6.598
angles (deg): 121.67 105.80 90.00
Atoms (fractional coordinates):
Sr (0.687, 0.698, 0.374)
Sr (0.313, 0.302, 0.626)
Bi (0.000, 0.000, 0.000)
O (0.886, 0.167, 0.772)
O (0.114, 0.833, 0.228)
O (0.628, 0.249, 0.256)
O (0.372, 0.751, 0.744)

Computed properties:
ρ: 6.123 g/cm3
Crystal system: monoclinic

---

#ii
First-principles (PBE) data for an optimized crystal structure of Sr2BiO4, as listed in the Alexandria database.

a b c (Å): 3.601 6.224 10.430
angles (deg): 90.00 90.00 90.00
Atoms (fractional coordinates):
Sr (0.500, 0.928, 0.819)
Sr (0.500, 0.072, 0.181)
Sr (0.500, 0.428, 0.681)
Sr (0.500, 0.572, 0.319)
Bi (0.000, 0.000, 0.500)
Bi (0.000, 0.500, 0.000)
O (0.000, 0.639, 0.802)
O (0.000, 0.361, 0.198)
O (0.000, 0.139, 0.698)
O (0.000, 0.861, 0.302)
O (0.500, 0.774, 0.547)
O (0.500, 0.226, 0.453)
O (0.500, 0.726, 0.047)
O (0.500, 0.274, 0.953)

Computed properties:
ρ: 6.367 g/cm3
Crystal system: orthorhombic

---

Which of them is most stable? Easy: #ii.

---

#i
First-principles (PBE) data for an optimized crystal structure of Ta2BiO, as listed in the Alexandria database.

a b c (Å): 5.228 5.228 7.188
angles (deg): 68.67 68.67 90.00
Atoms (fractional coordinates):
Bi (0.000, 0.000, 0.000)
Bi (0.750, 0.250, 0.500)
O (0.500, 0.500, 0.000)
O (0.250, 0.750, 0.500)
Ta (0.465, 0.125, 0.250)
Ta (0.285, 0.625, 0.250)
Ta (0.375, 0.535, 0.750)
Ta (0.875, 0.715, 0.750)

Computed properties:
ρ: 11.567 g/cm3
Crystal system: tetragonal

---

#ii
First-principles (PBE) data for an optimized crystal structure of Ta2BiO, as listed in the Alexandria database.

a b c (Å): 4.612 4.612 4.612
angles (deg): 60.00 60.00 60.00
Atoms (fractional coordinates):
Bi (0.500, 0.500, 0.500)
O (0.000, 0.000, 0.000)
Ta (0.250, 0.250, 0.250)
Ta (0.750, 0.750, 0.750)

Computed properties:
ρ: 14.047 g/cm3
Crystal system: cubic

---

Which of them is most stable? Easy: #i.

---

#i
First-principles (PBE) data for an optimized crystal structure of Ta2Bi2O9, as listed in the Alexandria database.

a b c (Å): 12.290 12.290 5.699
angles (deg): 90.00 90.00 155.44
Atoms (fractional coordinates):
Ta (0.827, 0.677, 0.039)
Ta (0.173, 0.323, 0.539)
Ta (0.323, 0.173, 0.539)
Ta (0.677, 0.827, 0.039)
Bi (0.058, 0.441, 0.907)
Bi (0.441, 0.058, 0.907)
Bi (0.559, 0.942, 0.407)
Bi (0.942, 0.559, 0.407)
O (0.724, 0.037, 0.066)
O (0.565, 0.353, 0.849)
O (0.630, 0.630, 0.080)
O (0.370, 0.370, 0.580)
O (0.353, 0.565, 0.849)
O (0.176, 0.637, 0.239)
O (0.963, 0.276, 0.566)
O (0.966, 0.092, 0.286)
O (0.092, 0.966, 0.286)
O (0.647, 0.435, 0.349)
O (0.276, 0.963, 0.566)
O (0.034, 0.908, 0.786)
O (0.824, 0.363, 0.739)
O (0.435, 0.647, 0.349)
O (0.363, 0.824, 0.739)
O (0.908, 0.034, 0.786)
O (0.037, 0.724, 0.066)
O (0.637, 0.176, 0.239)

Computed properties:
ρ: 8.575 g/cm3
Crystal system: orthorhombic

---

#ii
First-principles (PBE) data for an optimized crystal structure of Ta2Bi2O9, as listed in the Alexandria database.

a b c (Å): 3.940 3.940 13.167
angles (deg): 101.75 101.75 89.54
Atoms (fractional coordinates):
Ta (0.915, 0.915, 0.845)
Ta (0.085, 0.085, 0.155)
Bi (0.643, 0.643, 0.397)
Bi (0.357, 0.357, 0.603)
O (0.783, 0.783, 0.684)
O (0.217, 0.217, 0.316)
O (0.899, 0.401, 0.837)
O (0.750, 0.250, 0.500)
O (0.250, 0.750, 0.500)
O (0.401, 0.899, 0.837)
O (0.101, 0.599, 0.163)
O (0.599, 0.101, 0.163)
O (0.000, 0.000, 0.000)

Computed properties:
ρ: 7.835 g/cm3
Crystal system: monoclinic

---

Which of them is most stable? Easy: #i.

---

#i
First-principles (PBE) data for an optimized crystal structure of Tb2BiO, as listed in the Alexandria database.

a b c (Å): 3.658 3.658 7.826
angles (deg): 76.49 76.49 60.00
Atoms (fractional coordinates):
Tb (0.278, 0.278, 0.167)
Tb (0.722, 0.722, 0.833)
Bi (0.500, 0.500, 0.500)
O (0.000, 0.000, 0.000)

Computed properties:
ρ: 10.325 g/cm3
Crystal system: trigonal

---

#ii
First-principles (PBE) data for an optimized crystal structure of Tb2BiO, as listed in the Alexandria database.

a b c (Å): 7.748 6.779 7.718
angles (deg): 90.00 78.84 90.00
Atoms (fractional coordinates):
Tb (0.532, 0.672, 0.189)
Tb (0.032, 0.828, 0.189)
Tb (0.809, 0.386, 0.436)
Tb (0.968, 0.172, 0.811)
Tb (0.191, 0.614, 0.564)
Tb (0.691, 0.886, 0.564)
Tb (0.468, 0.328, 0.811)
Tb (0.309, 0.114, 0.436)
Bi (0.170, 0.370, 0.167)
Bi (0.330, 0.870, 0.833)
Bi (0.670, 0.130, 0.167)
Bi (0.830, 0.630, 0.833)
O (0.729, 0.186, 0.676)
O (0.229, 0.314, 0.676)
O (0.271, 0.814, 0.324)
O (0.771, 0.686, 0.324)

Computed properties:
ρ: 9.066 g/cm3
Crystal system: monoclinic

---

Which of them is most stable? Easy: #ii.

---

#i
First-principles (PBE) data for an optimized crystal structure of Tc2Bi2O, as listed in the Alexandria database.

a b c (Å): 6.059 6.059 5.169
angles (deg): 90.00 90.00 90.00
Atoms (fractional coordinates):
Bi (0.197, 0.697, 0.500)
Bi (0.697, 0.803, 0.500)
Bi (0.803, 0.303, 0.500)
Bi (0.303, 0.197, 0.500)
O (0.000, 0.000, 0.000)
O (0.500, 0.500, 0.000)
Tc (0.368, 0.868, 0.000)
Tc (0.868, 0.632, 0.000)
Tc (0.632, 0.132, 0.000)
Tc (0.132, 0.368, 0.000)

Computed properties:
ρ: 11.024 g/cm3
Crystal system: tetragonal

---

#ii
First-principles (PBE) data for an optimized crystal structure of Tc2Bi2O, as listed in the Alexandria database.

a b c (Å): 5.687 5.687 5.114
angles (deg): 56.22 56.22 90.00
Atoms (fractional coordinates):
Bi (0.750, 0.250, 0.500)
Bi (0.250, 0.750, 0.500)
O (0.000, 0.000, 0.000)
Tc (0.680, 0.680, 0.641)
Tc (0.320, 0.320, 0.359)

Computed properties:
ρ: 10.237 g/cm3
Crystal system: tetragonal

---

Which of them is most stable? Easy: #ii.

---

#i
First-principles (PBE) data for an optimized crystal structure of TcBi2O2, as listed in the Alexandria database.

a b c (Å): 6.145 6.145 4.862
angles (deg): 90.00 90.00 90.00
Atoms (fractional coordinates):
Bi (0.192, 0.692, 0.500)
Bi (0.692, 0.808, 0.500)
Bi (0.808, 0.308, 0.500)
Bi (0.308, 0.192, 0.500)
O (0.227, 0.727, 0.000)
O (0.727, 0.773, 0.000)
O (0.773, 0.273, 0.000)
O (0.273, 0.227, 0.000)
Tc (0.000, 0.000, 0.000)
Tc (0.500, 0.500, 0.000)

Computed properties:
ρ: 9.912 g/cm3
Crystal system: tetragonal

---

#ii
First-principles (PBE) data for an optimized crystal structure of TcBi2O2, as listed in the Alexandria database.

a b c (Å): 5.062 5.062 5.106
angles (deg): 60.28 60.28 90.00
Atoms (fractional coordinates):
Bi (0.750, 0.250, 0.500)
Bi (0.250, 0.750, 0.500)
O (0.279, 0.279, 0.441)
O (0.721, 0.721, 0.559)
Tc (0.000, 0.000, 0.000)

Computed properties:
ρ: 9.752 g/cm3
Crystal system: tetragonal

---

Which of them is most stable? Easy: #i.

---

#i
First-principles (PBE) data for an optimized crystal structure of TcBiO4, as listed in the Alexandria database.

a b c (Å): 3.843 5.635 7.860
angles (deg): 90.00 104.15 90.00
Atoms (fractional coordinates):
Tc (0.581, 0.780, 0.163)
Tc (0.419, 0.280, 0.837)
Bi (0.808, 0.781, 0.616)
Bi (0.192, 0.281, 0.384)
O (0.914, 0.281, 0.827)
O (0.086, 0.781, 0.173)
O (0.500, 0.030, 0.000)
O (0.500, 0.530, 0.000)
O (0.686, 0.548, 0.371)
O (0.314, 0.048, 0.629)
O (0.685, 0.014, 0.371)
O (0.315, 0.514, 0.629)

Computed properties:
ρ: 7.464 g/cm3
Crystal system: orthorhombic

---

#ii
First-principles (PBE) data for an optimized crystal structure of TcBiO4, as listed in the Alexandria database.

a b c (Å): 5.046 5.727 5.875
angles (deg): 107.88 90.00 90.00
Atoms (fractional coordinates):
Tc (0.500, 0.500, 0.000)
Tc (0.000, 0.000, 0.000)
Bi (0.000, 0.500, 0.500)
Bi (0.500, 0.000, 0.500)
O (0.288, 0.813, 0.108)
O (0.212, 0.313, 0.108)
O (0.634, 0.602, 0.324)
O (0.134, 0.898, 0.676)
O (0.866, 0.102, 0.324)
O (0.366, 0.398, 0.676)
O (0.788, 0.687, 0.892)
O (0.712, 0.187, 0.892)

Computed properties:
ρ: 7.624 g/cm3
Crystal system: monoclinic

---

Which of them is most stable? Easy: #i.

---

#i
First-principles (PBE) data for an optimized crystal structure of TcBi2O6, as listed in the Alexandria database.

a b c (Å): 5.655 5.899 8.816
angles (deg): 90.00 90.26 90.00
Atoms (fractional coordinates):
Tc (0.500, 0.500, 0.000)
Tc (0.000, 0.000, 0.500)
Bi (0.999, 0.497, 0.795)
Bi (0.501, 0.997, 0.705)
Bi (0.499, 0.003, 0.295)
Bi (0.001, 0.503, 0.205)
O (0.858, 0.816, 0.342)
O (0.860, 0.810, 0.654)
O (0.805, 0.667, 0.999)
O (0.695, 0.167, 0.501)
O (0.640, 0.310, 0.846)
O (0.642, 0.316, 0.158)
O (0.142, 0.184, 0.658)
O (0.140, 0.190, 0.346)
O (0.195, 0.333, 0.001)
O (0.305, 0.833, 0.499)
O (0.360, 0.690, 0.154)
O (0.358, 0.684, 0.842)

Computed properties:
ρ: 6.910 g/cm3
Crystal system: monoclinic

---

#ii
First-principles (PBE) data for an optimized crystal structure of TcBi2O6, as listed in the Alexandria database.

a b c (Å): 5.102 5.102 10.225
angles (deg): 90.00 90.00 90.00
Atoms (fractional coordinates):
Tc (0.000, 0.000, 0.000)
Tc (0.500, 0.500, 0.500)
Bi (0.000, 0.000, 0.330)
Bi (0.500, 0.500, 0.830)
Bi (0.500, 0.500, 0.170)
Bi (0.000, 0.000, 0.670)
O (0.319, 0.319, 0.354)
O (0.681, 0.681, 0.354)
O (0.181, 0.819, 0.854)
O (0.819, 0.181, 0.854)
O (0.181, 0.819, 0.146)
O (0.819, 0.181, 0.146)
O (0.319, 0.319, 0.646)
O (0.681, 0.681, 0.646)
O (0.262, 0.262, 0.000)
O (0.738, 0.738, 0.000)
O (0.238, 0.762, 0.500)
O (0.762, 0.238, 0.500)

Computed properties:
ρ: 7.636 g/cm3
Crystal system: tetragonal

---

Which of them is most stable? Easy: #i.